Entry from Alexandria via LeMat-Bulk: crystalline KGa2Ru at its relaxed geometry (PBE-GGA).

The structure belongs to space group Fm-3m (No. 225); the cell edges are 6.766, 6.766 and 6.766 Å and the angles 90.00°, 90.00° and 90.00°. The asymmetric unit holds K at (0.000, 0.000, 0.000), Ga at (0.250, 0.250, 0.250) and Ru at (0.000, 0.000, 0.500).

Its electronic total energy is -57.76 eV for the cell shown. As for the theoretical density: 6.00 Mg/m³. The formation energy comes out at 0.496 eV per atom. For the density of states at the Fermi level, the calculation gives 12.6 states/eV per cell.